Material: ThSc2Pa
Method: DFT, PBE-GGA
State: relaxed

POSCAR file:
```
ThSc2Pa
1.0
-3.7794 3.5567 1.2396
-4.9383 -0.5692 -1.9392
-4.0026 -1.3866 3.2589
Sc Th Pa
2 1 1
Direct
0.2427 0.2427 0.2720
0.0083 0.0083 0.9750
0.4867 0.4867 0.5399
0.7623 0.7623 0.7131
```

Properties
**Formation energy**: 26.5 kJ/mol of atoms
**SG**: R3m (160)
**Total moment**: 0.00 μB per atom